Record 1
Crystalline LiAcGeO4 at its relaxed geometry. Source: Alexandria, functional GGA-PBE.

Output
Its total energy is -94.42 eV for the cell shown.

a b c (Å): 6.034 5.732 6.750
angles (deg): 90.00 111.49 90.00
Space group P2_1/m (No. 11)
Unique sites:
Li 0.196 0.250 0.449 [2 per cell]
Ac 0.266 0.250 0.031 [2 per cell]
Ge 0.285 0.750 0.328 [2 per cell]
O 0.078 0.511 0.247 [4 per cell]
O 0.446 0.750 0.149 [2 per cell]
O 0.476 0.750 0.593 [2 per cell]

***

Record 2
Crystalline Li2AcGeO4 at its relaxed geometry. Source: Alexandria, functional GGA-PBE.

Output
Its total energy is -195.13 eV for the cell shown.

a b c (Å): 3.769 11.839 9.648
angles (deg): 90.00 90.00 90.00
Space group Cmcm (No. 63)
Unique sites:
Li 0.000 0.106 0.041 [8 per cell]
Ac 0.000 0.425 0.250 [4 per cell]
Ge 0.000 0.300 0.750 [4 per cell]
O 0.000 0.133 0.250 [4 per cell]
O 0.000 0.189 0.621 [8 per cell]
O 0.000 0.500 0.000 [4 per cell]